The following is a PBE calculation of an optimized crystal structure of LaTmSbSe, from Alexandria.

- ρ: 7.2 g/cm3
- Uncorrected energy: -22.68 eV/f.u.
- DOS at the Fermi energy: 0.425 states/eV/atom
- E_form (uncorrected): -1.4190 eV/atom
- Crystal system: trigonal
- SG: No. 160

Lattice parameters (Å, degrees): 4.218 4.218 7.955 90.01 105.38 119.99
Element x y z (fractional)
La  0.969  0.382  0.366
Tm  0.303  0.549  0.867
Sb  0.122  0.959  0.096
Se  0.485  0.140  0.641